A plane-wave DFT calculation with PBE+U was carried out for KMnI2O after structural relaxation.

Computed properties:
E	-4.28	eV/atom
space-group type	P4/mmm (123)
M_tot	4.10	μB/cell
DOS at the Fermi energy	0.860	states/eV per atom
polymorph energy (0 for the lowest one)	0.0000	eV/atom
crystal system	tetragonal

```
KMnI2O
1.0
6.1641 0.0000 0.0000
0.0000 6.1641 0.0000
0.0000 0.0000 3.7903
K Mn I O
1 1 2 1
Direct
0.0000 0.0000 0.0000
0.5000 0.5000 0.5000
0.0000 0.5000 0.5000
0.5000 0.0000 0.5000
0.5000 0.5000 0.0000
```